# 1
Material: CrW
Method: DFT, SCAN
State: PBEsol geometry

Geometry as POSCAR:
```
CrW
1.0
2.639 0.000 0.000
0.000 4.242 0.000
-0.888 0.000 4.862
Cr W
2 2
Direct
0.125 0.250 0.376
0.875 0.750 0.624
0.373 0.750 0.136
0.627 0.250 0.864
```

Results
ΔH_f (0 K) = 97 meV per atom
DOS(E_F) = 2.41 states/eV/cell
energy = -175.8 eV for the cell shown

---

# 2
Material: CdTcBiH2
Method: DFT, SCAN
State: PBEsol geometry

Geometry as POSCAR:
```
CdTcBiH2
1.0
3.949 0.000 0.000
0.000 3.949 0.000
0.000 0.000 5.355
Cd Tc Bi H
1 1 1 2
Direct
0.000 0.000 0.000
0.500 0.500 0.500
0.500 0.500 0.000
0.000 0.500 0.500
0.500 0.000 0.500
```

Results
DOS(E_F) = 2.46 states/eV/cell
energy = -147.7 eV for the cell shown

---

# 3
Material: KLiCo
Method: DFT, SCAN
State: PBEsol geometry

Geometry as POSCAR:
```
KLiCo
1.0
3.297 0.000 0.000
0.000 3.297 0.000
0.000 0.000 12.116
K Li Co
2 2 2
Direct
0.000 0.000 0.000
0.500 0.500 0.500
0.000 0.000 0.728
0.500 0.500 0.228
0.000 0.000 0.299
0.500 0.500 0.799
```

Results
ΔH_f (0 K) = 777 meV per atom
DOS(E_F) = 3.46 states/eV/cell
energy = -51.4 eV for the cell shown
distance to the lowest polymorph of the same formula = 0.018 eV/f.u.

---

# 4
Material: Pt2CClF
Method: DFT, SCAN
State: PBEsol geometry

Geometry as POSCAR:
```
Pt2CClF
1.0
4.073 0.000 0.000
0.000 4.073 0.000
0.000 0.000 5.021
Pt C Cl F
2 1 1 1
Direct
0.000 0.500 0.000
0.500 0.000 0.000
0.000 0.000 0.500
0.500 0.500 0.500
0.500 0.500 0.000
```

Results
raw formation energy = 2.042 eV/atom
DOS(E_F) = 3.49 states/eV/cell
energy = -151.8 eV for the cell shown

---

# 5
Material: Nd4Si7
Method: DFT, SCAN
State: PBEsol geometry

Geometry as POSCAR:
```
Nd4Si7
1.0
4.048 0.000 0.000
0.000 4.164 0.000
0.000 0.000 13.728
Nd Si
4 7
Direct
0.000 0.000 0.000
0.000 0.500 0.250
0.500 0.000 0.751
0.500 0.500 0.499
0.000 0.000 0.412
0.000 0.000 0.584
0.000 0.500 0.666
0.000 0.500 0.836
0.500 0.000 0.317
0.500 0.500 0.091
0.500 0.500 0.924
```

Results
raw formation energy = -0.626 eV/atom
DOS(E_F) = 3.79 states/eV/cell
energy = -251.3 eV for the cell shown

---

# 6
Material: AgRh2Cl
Method: DFT, SCAN
State: PBEsol geometry

Geometry as POSCAR:
```
AgRh2Cl
1.0
5.809 0.000 0.000
0.000 7.245 0.000
0.000 0.000 2.833
Ag Rh Cl
2 4 2
Direct
0.000 0.000 0.000
0.500 0.500 0.000
0.250 0.250 0.500
0.250 0.750 0.500
0.750 0.250 0.500
0.750 0.750 0.500
0.000 0.500 0.000
0.500 0.000 0.000
```

Results
raw formation energy = 0.646 eV/atom
DOS(E_F) = 6.61 states/eV/cell
energy = -208.6 eV for the cell shown

---

Question: Which formula does entry 5 have?
Answer: Nd4Si7

---

Copy entry 3 word for word.
Material: KLiCo
Method: DFT, SCAN
State: PBEsol geometry

Geometry as POSCAR:
```
KLiCo
1.0
3.297 0.000 0.000
0.000 3.297 0.000
0.000 0.000 12.116
K Li Co
2 2 2
Direct
0.000 0.000 0.000
0.500 0.500 0.500
0.000 0.000 0.728
0.500 0.500 0.228
0.000 0.000 0.299
0.500 0.500 0.799
```

Results
ΔH_f (0 K) = 777 meV per atom
DOS(E_F) = 3.46 states/eV/cell
energy = -51.4 eV for the cell shown
distance to the lowest polymorph of the same formula = 0.018 eV/f.u.

---

Question: The lowest energy belongs to which entry?
Answer: Nd4Si7